# BeCuBr PBE optimized geometry
# * ΔE_f (raw): 310 meV per atom
data_BeCuBr
_chemical_formula_sum 'Be4 Cu4 Br4'
_symmetry_space_group_name_H-M 'F m m 2'
_symmetry_Int_Tables_number 42
_symmetry_space_group_name_Hall 'F 2 -2'
_cell_length_a 3.2034
_cell_length_b 5.9963
_cell_length_c 11.8182
_cell_angle_alpha 90.00
_cell_angle_beta 90.00
_cell_angle_gamma 90.00
loop_
_atom_site_label
_atom_site_type_symbol
_atom_site_fract_x
_atom_site_fract_y
_atom_site_fract_z
_atom_site_occupancy
Be1 Be 0.0000 0.0000 0.0000 1
Cu1 Cu 0.0000 0.0000 0.3689 1
Br1 Br 0.0000 0.0000 0.6301 1

# TlTe2W PBE optimized geometry
# * ΔE_f (raw): 245 meV per atom
data_TlTe2W
_chemical_formula_sum 'Tl2 Te4 W2'
_symmetry_space_group_name_H-M 'I m m 2'
_symmetry_Int_Tables_number 44
_symmetry_space_group_name_Hall 'I 2 -2'
_cell_length_a 3.4301
_cell_length_b 3.5241
_cell_length_c 18.2394
_cell_angle_alpha 90.00
_cell_angle_beta 90.00
_cell_angle_gamma 90.00
loop_
_atom_site_label
_atom_site_type_symbol
_atom_site_fract_x
_atom_site_fract_y
_atom_site_fract_z
_atom_site_occupancy
Tl1 Tl 0.0000 0.0000 0.0000 1
Te1 Te 0.0000 0.0000 0.3532 1
Te2 Te 0.0000 0.5000 0.1665 1
W1 W 0.0000 0.5000 0.7393 1

# MoPSe PBE optimized geometry
# * ΔE_f (raw): 128 meV per atom
data_MoPSe
_chemical_formula_sum 'Mo4 P4 Se4'
_symmetry_space_group_name_H-M 'F -4 3 m'
_symmetry_Int_Tables_number 216
_symmetry_space_group_name_Hall 'F -4 2 3'
_cell_length_a 6.1087
_cell_length_b 6.1087
_cell_length_c 6.1087
_cell_angle_alpha 90.00
_cell_angle_beta 90.00
_cell_angle_gamma 90.00
loop_
_atom_site_label
_atom_site_type_symbol
_atom_site_fract_x
_atom_site_fract_y
_atom_site_fract_z
_atom_site_occupancy
Mo1 Mo 0.0000 0.0000 0.0000 1
P1 P 0.2500 0.2500 0.7500 1
Se1 Se 0.2500 0.2500 0.2500 1

# SrHgOs4 PBE optimized geometry
# * energy of formation: 0.685 eV per atom
data_SrHgOs4
_chemical_formula_sum 'Sr4 Hg4 Os16'
_symmetry_space_group_name_H-M 'F -4 3 m'
_symmetry_Int_Tables_number 216
_symmetry_space_group_name_Hall 'F -4 2 3'
_cell_length_a 7.6036
_cell_length_b 7.6036
_cell_length_c 7.6036
_cell_angle_alpha 90.00
_cell_angle_beta 90.00
_cell_angle_gamma 90.00
loop_
_atom_site_label
_atom_site_type_symbol
_atom_site_fract_x
_atom_site_fract_y
_atom_site_fract_z
_atom_site_occupancy
Sr1 Sr 0.0000 0.0000 0.0000 1
Hg1 Hg 0.2500 0.2500 0.7500 1
Os1 Os 0.1246 0.1246 0.3754 1

# NiP2S2 PBE optimized geometry
# * ΔE_f (raw): 1171 meV per atom
data_NiP2S2
_chemical_formula_sum 'Ni1 P2 S2'
_symmetry_space_group_name_H-M 'P 4/m m m'
_symmetry_Int_Tables_number 123
_symmetry_space_group_name_Hall '-P 4 2'
_cell_length_a 4.4813
_cell_length_b 4.4813
_cell_length_c 4.3992
_cell_angle_alpha 90.00
_cell_angle_beta 90.00
_cell_angle_gamma 90.00
loop_
_atom_site_label
_atom_site_type_symbol
_atom_site_fract_x
_atom_site_fract_y
_atom_site_fract_z
_atom_site_occupancy
Ni1 Ni 0.0000 0.0000 0.0000 1
P1 P 0.0000 0.5000 0.5000 1
S1 S 0.5000 0.5000 0.0000 1
S2 S 0.5000 0.5000 0.5000 1

# Ca6Hg12N PBE optimized geometry
# * ΔE_f (raw): -358 meV per atom
data_Ca6Hg12N
_chemical_formula_sum 'Ca18 Hg36 N3'
_symmetry_space_group_name_H-M 'R -3'
_symmetry_Int_Tables_number 148
_symmetry_space_group_name_Hall '-R 3'
_cell_length_a 14.4890
_cell_length_b 14.4890
_cell_length_c 8.3990
_cell_angle_alpha 90.00
_cell_angle_beta 90.00
_cell_angle_gamma 120.00
loop_
_atom_site_label
_atom_site_type_symbol
_atom_site_fract_x
_atom_site_fract_y
_atom_site_fract_z
_atom_site_occupancy
Ca1 Ca 0.0814 0.1636 0.3229 1
Hg1 Hg 0.0008 0.3005 0.5017 1
Hg2 Hg 0.1098 0.5547 0.5858 1
N1 N 0.0000 0.0000 0.5000 1

# Hg2OsCl PBE optimized geometry
# * ΔE_f (raw): 499 meV per atom
data_Hg2OsCl
_chemical_formula_sum 'Hg4 Os2 Cl2'
_symmetry_space_group_name_H-M 'C 1 m 1'
_symmetry_Int_Tables_number 8
_symmetry_space_group_name_Hall 'C -2y'
_cell_length_a 10.3974
_cell_length_b 2.9879
_cell_length_c 6.6938
_cell_angle_alpha 90.00
_cell_angle_beta 111.49
_cell_angle_gamma 90.00
loop_
_atom_site_label
_atom_site_type_symbol
_atom_site_fract_x
_atom_site_fract_y
_atom_site_fract_z
_atom_site_occupancy
Hg1 Hg 0.0000 0.0000 0.0000 1
Hg2 Hg 0.1774 0.0000 0.6699 1
Os1 Os 0.2477 0.5000 0.0489 1
Cl1 Cl 0.3350 0.0000 0.3353 1

# NaAc3Pr2Te6 PBE optimized geometry
# * ΔE_f (raw): -1447 meV per atom
data_NaAc3Pr2Te6
_chemical_formula_sum 'Na2 Ac6 Pr4 Te12'
_symmetry_space_group_name_H-M 'C 1 2/m 1'
_symmetry_Int_Tables_number 12
_symmetry_space_group_name_Hall '-C 2y'
_cell_length_a 20.2029
_cell_length_b 4.6552
_cell_length_c 9.2562
_cell_angle_alpha 90.00
_cell_angle_beta 102.24
_cell_angle_gamma 90.00
loop_
_atom_site_label
_atom_site_type_symbol
_atom_site_fract_x
_atom_site_fract_y
_atom_site_fract_z
_atom_site_occupancy
Na1 Na 0.0000 0.0000 0.0000 1
Ac1 Ac 0.0000 0.0000 0.5000 1
Ac2 Ac 0.1647 0.5000 0.8332 1
Pr1 Pr 0.1709 0.5000 0.3460 1
Te1 Te 0.0051 0.5000 0.2431 1
Te2 Te 0.1647 0.0000 0.0935 1
Te3 Te 0.1671 0.0000 0.5815 1

# Pd2RuO PBE optimized geometry
# * ΔE_f (raw): 525 meV per atom
data_Pd2RuO
_chemical_formula_sum 'Pd8 Ru4 O4'
_symmetry_space_group_name_H-M 'I -4 2 d'
_symmetry_Int_Tables_number 122
_symmetry_space_group_name_Hall 'I -4 2bw'
_cell_length_a 6.6897
_cell_length_b 6.6897
_cell_length_c 4.9946
_cell_angle_alpha 90.00
_cell_angle_beta 90.00
_cell_angle_gamma 90.00
loop_
_atom_site_label
_atom_site_type_symbol
_atom_site_fract_x
_atom_site_fract_y
_atom_site_fract_z
_atom_site_occupancy
Pd1 Pd 0.1978 0.2500 0.1250 1
Ru1 Ru 0.0000 0.0000 0.5000 1
O1 O 0.0000 0.0000 0.0000 1

# AsOs2Rh PBE optimized geometry
# * energy of formation: 0.292 eV per atom
data_AsOs2Rh
_chemical_formula_sum 'As1 Os2 Rh1'
_symmetry_space_group_name_H-M 'P 1 2/m 1'
_symmetry_Int_Tables_number 10
_symmetry_space_group_name_Hall '-P 2y'
_cell_length_a 2.8700
_cell_length_b 4.0009
_cell_length_c 5.2908
_cell_angle_alpha 90.00
_cell_angle_beta 104.41
_cell_angle_gamma 90.00
loop_
_atom_site_label
_atom_site_type_symbol
_atom_site_fract_x
_atom_site_fract_y
_atom_site_fract_z
_atom_site_occupancy
As1 As 0.0000 0.0000 0.0000 1
Os1 Os 0.3707 0.5000 0.2437 1
Rh1 Rh 0.0000 0.0000 0.5000 1

# Ga2Cu3Pt4 PBE optimized geometry
# * energy of formation: -0.401 eV per atom
data_Ga2Cu3Pt4
_chemical_formula_sum 'Ga4 Cu6 Pt8'
_symmetry_space_group_name_H-M 'C 1 2/m 1'
_symmetry_Int_Tables_number 12
_symmetry_space_group_name_Hall '-C 2y'
_cell_length_a 7.8550
_cell_length_b 4.0569
_cell_length_c 8.1070
_cell_angle_alpha 90.00
_cell_angle_beta 97.60
_cell_angle_gamma 90.00
loop_
_atom_site_label
_atom_site_type_symbol
_atom_site_fract_x
_atom_site_fract_y
_atom_site_fract_z
_atom_site_occupancy
Ga1 Ga 0.1673 0.0000 0.2212 1
Cu1 Cu 0.0000 0.5000 0.0000 1
Cu2 Cu 0.1610 0.0000 0.5368 1
Pt1 Pt 0.0032 0.5000 0.3270 1
Pt2 Pt 0.1707 0.0000 0.8872 1

# PuMgAgRu PBE optimized geometry
# * energy of formation: 0.074 eV per atom
data_PuMgAgRu
_chemical_formula_sum 'Pu4 Mg4 Ag4 Ru4'
_symmetry_space_group_name_H-M 'F -4 3 m'
_symmetry_Int_Tables_number 216
_symmetry_space_group_name_Hall 'F -4 2 3'
_cell_length_a 6.7829
_cell_length_b 6.7829
_cell_length_c 6.7829
_cell_angle_alpha 90.00
_cell_angle_beta 90.00
_cell_angle_gamma 90.00
loop_
_atom_site_label
_atom_site_type_symbol
_atom_site_fract_x
_atom_site_fract_y
_atom_site_fract_z
_atom_site_occupancy
Pu1 Pu 0.0000 0.0000 0.0000 1
Mg1 Mg 0.0000 0.0000 0.5000 1
Ag1 Ag 0.2500 0.2500 0.2500 1
Ru1 Ru 0.2500 0.2500 0.7500 1

# ZnHgMo2 PBE optimized geometry
# * energy of formation: 0.690 eV per atom
data_ZnHgMo2
_chemical_formula_sum 'Zn4 Hg4 Mo8'
_symmetry_space_group_name_H-M 'I -4 2 d'
_symmetry_Int_Tables_number 122
_symmetry_space_group_name_Hall 'I -4 2bw'
_cell_length_a 3.7838
_cell_length_b 3.7838
_cell_length_c 20.1933
_cell_angle_alpha 90.00
_cell_angle_beta 90.00
_cell_angle_gamma 90.00
loop_
_atom_site_label
_atom_site_type_symbol
_atom_site_fract_x
_atom_site_fract_y
_atom_site_fract_z
_atom_site_occupancy
Zn1 Zn 0.0000 0.0000 0.0000 1
Hg1 Hg 0.0000 0.0000 0.5000 1
Mo1 Mo 0.2187 0.2500 0.1250 1

# LiP2RuCl PBE optimized geometry
# * ΔE_f (raw): -9 meV per atom
data_LiP2RuCl
_chemical_formula_sum 'Li1 P2 Ru1 Cl1'
_symmetry_space_group_name_H-M 'P 4/m m m'
_symmetry_Int_Tables_number 123
_symmetry_space_group_name_Hall '-P 4 2'
_cell_length_a 4.4380
_cell_length_b 4.4380
_cell_length_c 5.8577
_cell_angle_alpha 90.00
_cell_angle_beta 90.00
_cell_angle_gamma 90.00
loop_
_atom_site_label
_atom_site_type_symbol
_atom_site_fract_x
_atom_site_fract_y
_atom_site_fract_z
_atom_site_occupancy
Li1 Li 0.0000 0.0000 0.0000 1
P1 P 0.0000 0.5000 0.5000 1
Ru1 Ru 0.5000 0.5000 0.5000 1
Cl1 Cl 0.5000 0.5000 0.0000 1

# CsPa2SnO8 PBE optimized geometry
# * ΔE_f (raw): -2483 meV per atom
data_CsPa2SnO8
_chemical_formula_sum 'Cs1 Pa2 Sn1 O8'
_symmetry_space_group_name_H-M 'P 1 2/m 1'
_symmetry_Int_Tables_number 10
_symmetry_space_group_name_Hall '-P 2y'
_cell_length_a 5.0695
_cell_length_b 7.6828
_cell_length_c 5.0717
_cell_angle_alpha 90.00
_cell_angle_beta 91.58
_cell_angle_gamma 90.00
loop_
_atom_site_label
_atom_site_type_symbol
_atom_site_fract_x
_atom_site_fract_y
_atom_site_fract_z
_atom_site_occupancy
Cs1 Cs 0.0000 0.0000 0.0000 1
Pa1 Pa 0.5000 0.2691 0.5000 1
Sn1 Sn 0.0000 0.5000 0.0000 1
O1 O 0.2108 0.3099 0.2122 1
O2 O 0.3035 0.5000 0.6977 1
O3 O 0.3531 0.0000 0.6482 1

# TcAuSe2N PBE optimized geometry
# * ΔE_f (raw): 440 meV per atom
data_TcAuSe2N
_chemical_formula_sum 'Tc1 Au1 Se2 N1'
_symmetry_space_group_name_H-M 'P 4/m m m'
_symmetry_Int_Tables_number 123
_symmetry_space_group_name_Hall '-P 4 2'
_cell_length_a 5.0454
_cell_length_b 5.0454
_cell_length_c 3.6983
_cell_angle_alpha 90.00
_cell_angle_beta 90.00
_cell_angle_gamma 90.00
loop_
_atom_site_label
_atom_site_type_symbol
_atom_site_fract_x
_atom_site_fract_y
_atom_site_fract_z
_atom_site_occupancy
Tc1 Tc 0.0000 0.0000 0.0000 1
Au1 Au 0.5000 0.5000 0.5000 1
Se1 Se 0.0000 0.5000 0.0000 1
N1 N 0.0000 0.0000 0.5000 1

| no. | magnetization (μB/atom) | Fermi-level density of states (states/eV/f.u.) |
| --- | --- | --- |
| 1 | 0.00 | 0.622 |
| 2 | 0.00 | 3.240 |
| 3 | 0.57 | 1.923 |
| 4 | 0.24 | 8.566 |
| 5 | 0.02 | 4.576 |
| 6 | 0.00 | 7.631 |
| 7 | 0.00 | 2.912 |
| 8 | 0.00 | 4.556 |
| 9 | 0.55 | 5.067 |
| 10 | 0.00 | 3.086 |
| 11 | 0.00 | 2.204 |
| 12 | 1.23 | 8.763 |
| 13 | 0.00 | 3.841 |
| 14 | 0.00 | 3.020 |
| 15 | 0.02 | 1.335 |
| 16 | 0.00 | 3.312 |